Record 1
## TbTmZn4 (GGA-PBE)

Data for a relaxed structure of TbTmZn4.

a = 5.4415 Å, b = 5.4415 Å, c = 5.4415 Å
α = 60.00°, β = 60.00°, γ = 60.00°
Sites, in units of the cell vectors:
Tb1 0.0000 0.0000 0.0000
Tm1 0.7500 0.7500 0.7500
Zn1 0.3750 0.3750 0.3750
Zn2 0.3750 0.3750 0.8749
Zn3 0.3750 0.8749 0.3750
Zn4 0.8749 0.3750 0.3750

## Properties
Volume (Å³ per atom): 18.99
ρ (g cm⁻³): 8.59
Final energy (eV/atom): -2.6985
E_form (meV/atom): -332
Space-group type: F-43m
DOS at the Fermi energy (states/eV per cell): 2.242

=====

Record 2
## Tb2Tm3Zn2 (GGA-PBE)

Data for a relaxed structure of Tb2Tm3Zn2.

a = 14.8429 Å, b = 14.8429 Å, c = 3.5212 Å
α = 96.78°, β = 96.78°, γ = 13.62°
Sites, in units of the cell vectors:
Tb1 0.2069 0.2069 0.2065
Tb2 0.7931 0.7931 0.7935
Tm1 0.3806 0.3806 0.3820
Tm2 0.5000 0.5000 0.5000
Tm3 0.6194 0.6194 0.6180
Zn1 0.0594 0.0594 0.0581
Zn2 0.9406 0.9406 0.9419

## Properties
Volume (Å³ per atom): 25.92
ρ (g cm⁻³): 8.74
Final energy (eV/atom): -3.7998
E_form (meV/atom): -197
Space-group type: C2/m
DOS at the Fermi energy (states/eV per cell): 6.843

=====

Record 3
## Tb8Tm2Zn (GGA-PBE)

Data for a relaxed structure of Tb8Tm2Zn.

a = 9.8369 Å, b = 9.8369 Å, c = 6.3910 Å
α = 92.84°, β = 92.84°, γ = 32.43°
Sites, in units of the cell vectors:
Tb1 0.0411 0.0411 0.2517
Tb2 0.1573 0.1573 0.8093
Tb3 0.3441 0.3441 0.8819
Tb4 0.4205 0.4205 0.3953
Tb5 0.5795 0.5795 0.6047
Tb6 0.6559 0.6559 0.1181
Tb7 0.8427 0.8427 0.1907
Tb8 0.9589 0.9589 0.7483
Tm1 0.2381 0.2381 0.3325
Tm2 0.7619 0.7619 0.6675
Zn1 0.5000 0.5000 0.0000

## Properties
Volume (Å³ per atom): 30.11
ρ (g cm⁻³): 8.40
Final energy (eV/atom): -4.3196
E_form (meV/atom): -23
Space-group type: C2/m
DOS at the Fermi energy (states/eV per cell): 13.378

=====

Record 4
## TbTm2Zn5 (GGA-PBE)

Data for a relaxed structure of TbTm2Zn5.

a = 7.7552 Å, b = 7.7552 Å, c = 7.7552 Å
α = 143.97°, β = 143.97°, γ = 51.88°
Sites, in units of the cell vectors:
Tb1 0.0000 0.0000 0.0000
Tm1 0.2657 0.2657 0.0000
Tm2 0.7343 0.7343 0.0000
Zn1 0.1179 0.6179 0.5000
Zn2 0.3821 0.8821 0.5000
Zn3 0.5000 0.5000 0.0000
Zn4 0.6179 0.1179 0.5000
Zn5 0.8821 0.3821 0.5000

## Properties
Volume (Å³ per atom): 20.06
ρ (g cm⁻³): 8.52
Final energy (eV/atom): -2.8093
E_form (meV/atom): -316
Space-group type: I4/mmm
DOS at the Fermi energy (states/eV per cell): 2.671

=====

Record 5
## Tb4Tm3Zn (GGA-PBE)

Data for a relaxed structure of Tb4Tm3Zn.

a = 3.5446 Å, b = 3.5446 Å, c = 18.5003 Å
α = 90.00°, β = 90.00°, γ = 90.00°
Sites, in units of the cell vectors:
Tb1 0.0000 0.0000 0.0971
Tb2 0.0000 0.0000 0.3659
Tb3 0.0000 0.0000 0.6341
Tb4 0.0000 0.0000 0.9029
Tm1 0.5000 0.5000 0.2333
Tm2 0.5000 0.5000 0.5000
Tm3 0.5000 0.5000 0.7667
Zn1 0.5000 0.5000 0.0000

## Properties
Volume (Å³ per atom): 29.05
ρ (g cm⁻³): 8.63
Final energy (eV/atom): -4.2171
E_form (meV/atom): -66
Space-group type: P4/mmm
DOS at the Fermi energy (states/eV per cell): 10.319

=====

Record 6
## TbTmZn6 (GGA-PBE)

Data for a relaxed structure of TbTmZn6.

a = 4.3979 Å, b = 6.1053 Å, c = 6.1053 Å
α = 65.01°, β = 90.00°, γ = 90.00°
Sites, in units of the cell vectors:
Tb1 0.0000 0.0000 0.0000
Tm1 0.5000 0.7108 0.7108
Zn1 0.0000 0.0622 0.4756
Zn2 0.0000 0.4756 0.0622
Zn3 0.0000 0.5188 0.5188
Zn4 0.5000 0.1955 0.1955
Zn5 0.5000 0.2372 0.6461
Zn6 0.5000 0.6461 0.2372

## Properties
Volume (Å³ per atom): 18.57
ρ (g cm⁻³): 8.05
Final energy (eV/atom): -2.4030
E_form (meV/atom): -310
Space-group type: Amm2
DOS at the Fermi energy (states/eV per cell): 3.209

=====

Record 7
## TbTm2Zn2 (GGA-PBE)

Data for a relaxed structure of TbTm2Zn2.

a = 7.9962 Å, b = 7.9962 Å, c = 6.1063 Å
α = 90.00°, β = 90.00°, γ = 141.88°
Sites, in units of the cell vectors:
Tb1 0.0829 0.9171 0.5000
Tb2 0.9171 0.0829 0.0000
Tm1 0.3006 0.6994 0.7478
Tm2 0.4573 0.5427 0.3452
Tm3 0.5427 0.4573 0.8452
Tm4 0.6994 0.3006 0.2478
Zn1 0.1232 0.8768 0.0088
Zn2 0.2764 0.7236 0.2411
Zn3 0.7236 0.2764 0.7411
Zn4 0.8768 0.1232 0.5088

## Properties
Volume (Å³ per atom): 24.10
ρ (g cm⁻³): 8.65
Final energy (eV/atom): -3.4237
E_form (meV/atom): -199
Space-group type: Cmc2_1
DOS at the Fermi energy (states/eV per cell): 9.163

=====

Record 8
## TbTm2Zn (GGA-PBE)

Data for a relaxed structure of TbTm2Zn.

a = 4.7025 Å, b = 4.7025 Å, c = 4.7071 Å
α = 90.00°, β = 90.00°, γ = 90.00°
Sites, in units of the cell vectors:
Tb1 0.0000 0.0000 0.0000
Tm1 0.0000 0.5000 0.5000
Tm2 0.5000 0.0000 0.5000
Zn1 0.5000 0.5000 0.0000

## Properties
Volume (Å³ per atom): 26.02
ρ (g cm⁻³): 8.97
Final energy (eV/atom): -3.7406
E_form (meV/atom): -29
Space-group type: P4/mmm
DOS at the Fermi energy (states/eV per cell): 5.534

=====

Record 9
## TbTm2Zn (GGA-PBE)

Data for a relaxed structure of TbTm2Zn.

a = 10.4136 Å, b = 10.4136 Å, c = 10.4136 Å
α = 19.45°, β = 19.45°, γ = 19.45°
Sites, in units of the cell vectors:
Tb1 0.0000 0.0000 0.0000
Tm1 0.2392 0.2392 0.2392
Tm2 0.7608 0.7608 0.7608
Zn1 0.5000 0.5000 0.5000

## Properties
Volume (Å³ per atom): 27.37
ρ (g cm⁻³): 8.53
Final energy (eV/atom): -3.7836
E_form (meV/atom): -72
Space-group type: R-3m
DOS at the Fermi energy (states/eV per cell): 3.295

=====

Record 10
## Tb6Tm2Zn (GGA-PBE)

Data for a relaxed structure of Tb6Tm2Zn.

a = 10.0196 Å, b = 10.0299 Å, c = 5.3281 Å
α = 90.00°, β = 90.00°, γ = 90.00°
Sites, in units of the cell vectors:
Tb1 0.0415 0.1860 0.0000
Tb2 0.1224 0.6215 0.5000
Tb3 0.1859 0.9569 0.5000
Tb4 0.3141 0.4569 0.0000
Tb5 0.3776 0.1215 0.0000
Tb6 0.4585 0.6860 0.5000
Tb7 0.5415 0.3140 0.5000
Tb8 0.6224 0.8785 0.0000
Tb9 0.6859 0.5431 0.0000
Tb10 0.8141 0.0431 0.5000
Tb11 0.8776 0.3785 0.5000
Tb12 0.9585 0.8140 0.0000
Tm1 0.2147 0.2836 0.5000
Tm2 0.2853 0.7836 0.0000
Tm3 0.7147 0.2164 0.0000
Tm4 0.7853 0.7164 0.5000
Zn1 0.0000 0.5000 0.0000
Zn2 0.5000 0.0000 0.5000

## Properties
Volume (Å³ per atom): 29.75
ρ (g cm⁻³): 8.42
Final energy (eV/atom): -4.2080
E_form (meV/atom): 14
Space-group type: Pnnm
DOS at the Fermi energy (states/eV per cell): 27.828

=====

Record 11
## TbTm2Zn (GGA-PBE)

Data for a relaxed structure of TbTm2Zn.

a = 3.5244 Å, b = 3.5244 Å, c = 8.5597 Å
α = 90.00°, β = 90.00°, γ = 90.00°
Sites, in units of the cell vectors:
Tb1 0.0000 0.0000 0.0000
Tm1 0.5000 0.5000 0.2954
Tm2 0.5000 0.5000 0.7046
Zn1 0.0000 0.0000 0.5000

## Properties
Volume (Å³ per atom): 26.58
ρ (g cm⁻³): 8.78
Final energy (eV/atom): -3.8787
E_form (meV/atom): -167
Space-group type: P4/mmm
DOS at the Fermi energy (states/eV per cell): 4.059

=====

Record 12
## TbTmZn4 (GGA-PBE)

Data for a relaxed structure of TbTmZn4.

a = 5.6513 Å, b = 5.6513 Å, c = 5.6513 Å
α = 133.28°, β = 104.33°, γ = 93.84°
Sites, in units of the cell vectors:
Tb1 0.0000 0.0000 0.0000
Tm1 0.5000 0.0000 0.5000
Zn1 0.0838 0.3334 0.7504
Zn2 0.4170 0.6666 0.7504
Zn3 0.5830 0.3334 0.2496
Zn4 0.9162 0.6666 0.2496

## Properties
Volume (Å³ per atom): 19.99
ρ (g cm⁻³): 8.16
Final energy (eV/atom): -2.7411
E_form (meV/atom): -375
Space-group type: Immm
DOS at the Fermi energy (states/eV per cell): 4.535

=====

Q: Look up the ρ of the tenth one.
A: 8.42 g cm⁻³

=====

Q: Look up the ρ of the third one.
A: 8.40 g cm⁻³